Material: Pr8Sm2Th
Method: DFT, PBE
State: optimized geometry

Results
Density of states at the Fermi level   1.60 states/eV/atom
Final energy   -4.9770 eV/atom
DFT formation energy   32 meV per atom

a b c (Å): 9.7565 9.7565 8.2574
angles (deg): 104.70 104.70 30.99
Fractional positions:
Pr1 0.0446 0.0446 0.2344
Pr2 0.1346 0.1346 0.6799
Pr3 0.3201 0.3201 0.5902
Pr4 0.4089 0.4089 0.0495
Pr5 0.5911 0.5911 0.9505
Pr6 0.6799 0.6799 0.4098
Pr7 0.8654 0.8654 0.3201
Pr8 0.9554 0.9554 0.7656
Sm1 0.2277 0.2277 0.1355
Sm2 0.7723 0.7723 0.8645
Th1 0.5000 0.5000 0.5000